# 1
VASP calculation (PBE) on Pu8Tc5Os after structural relaxation.

**Total DFT energy (no corrections)**: -12.536 eV per atom
**Spin magnetization**: 2.539 μB per atom
**V**: 297 Å³ per cell
**DFT formation energy**: 0.158 eV per atom

Unit cell a=7.295 b=7.295 c=7.295 alpha=106.90 beta=106.90 gamma=114.74
Atoms (fractional coordinates):
Pu (0.017, 0.971, 0.268)
Pu (0.029, 0.298, 0.046)
Pu (0.152, 0.455, 0.675)
Pu (0.252, 0.983, 0.954)
Pu (0.523, 0.848, 0.302)
Pu (0.545, 0.220, 0.698)
Pu (0.702, 0.748, 0.732)
Pu (0.780, 0.477, 0.325)
Tc (0.050, 0.038, 0.635)
Tc (0.403, 0.415, 0.365)
Tc (0.500, 0.500, 0.000)
Tc (0.585, 0.950, 0.988)
Tc (0.962, 0.597, 0.012)
Os (0.250, 0.750, 0.500)

=====

# 2
VASP calculation (PBE) on PuUTcOs after structural relaxation.

**Total DFT energy (no corrections)**: -11.776 eV per atom
**Spin magnetization**: 1.393 μB per atom
**V**: 77 Å³ per cell
**DFT formation energy**: 0.028 eV per atom

Unit cell a=4.777 b=4.777 c=4.777 alpha=60.00 beta=60.00 gamma=60.00
Atoms (fractional coordinates):
Pu (0.000, 0.000, 0.000)
U (0.500, 0.500, 0.500)
Tc (0.250, 0.250, 0.250)
Os (0.750, 0.750, 0.750)

=====

# 3
VASP calculation (PBE) on PuZnTcOs after structural relaxation.

**Total DFT energy (no corrections)**: -9.208 eV per atom
**Spin magnetization**: 0.822 μB per atom
**V**: 66 Å³ per cell
**DFT formation energy**: 0.092 eV per atom

Unit cell a=4.533 b=4.533 c=4.533 alpha=60.00 beta=60.00 gamma=60.00
Atoms (fractional coordinates):
Pu (0.000, 0.000, 0.000)
Zn (0.500, 0.500, 0.500)
Tc (0.750, 0.750, 0.750)
Os (0.250, 0.250, 0.250)

=====

# 4
VASP calculation (PBE) on PuThTeOs after structural relaxation.

**Total DFT energy (no corrections)**: -9.537 eV per atom
**Spin magnetization**: 1.190 μB per atom
**V**: 111 Å³ per cell
**E_form (uncorrected)**: -2.0 eV/f.u.

Unit cell a=7.974 b=7.974 c=7.974 alpha=29.83 beta=29.83 gamma=29.83
Atoms (fractional coordinates):
Pu (0.000, 0.000, 0.000)
Th (0.199, 0.199, 0.199)
Te (0.431, 0.431, 0.431)
Os (0.604, 0.604, 0.604)

=====

# 5
VASP calculation (PBE) on PuTh3Os8 after structural relaxation.

**Total DFT energy (no corrections)**: -10.743 eV per atom
**Spin magnetization**: 0.381 μB per atom
**V**: 227 Å³ per cell
**DFT formation energy**: -0.208 eV per atom

Unit cell a=9.428 b=9.428 c=9.428 alpha=33.46 beta=33.46 gamma=33.46
Atoms (fractional coordinates):
Pu (0.000, 0.000, 0.000)
Th (0.375, 0.375, 0.375)
Th (0.501, 0.501, 0.501)
Th (0.877, 0.877, 0.877)
Os (0.188, 0.188, 0.188)
Os (0.435, 0.938, 0.938)
Os (0.438, 0.438, 0.941)
Os (0.438, 0.941, 0.438)
Os (0.688, 0.688, 0.688)
Os (0.938, 0.435, 0.938)
Os (0.938, 0.938, 0.435)
Os (0.941, 0.438, 0.438)

=====

# 6
VASP calculation (PBE) on Pu2ThOs2 after structural relaxation.

**Total DFT energy (no corrections)**: -11.720 eV per atom
**Spin magnetization**: 0.112 μB per atom
**V**: 210 Å³ per cell
**DFT formation energy**: -0.012 eV per atom

Unit cell a=5.583 b=4.564 c=8.551 alpha=90.00 beta=105.87 gamma=90.00
Atoms (fractional coordinates):
Pu (0.146, 0.250, 0.108)
Pu (0.338, 0.750, 0.093)
Pu (0.662, 0.250, 0.907)
Pu (0.854, 0.750, 0.892)
Th (0.226, 0.250, 0.454)
Th (0.774, 0.750, 0.546)
Os (0.161, 0.250, 0.787)
Os (0.338, 0.750, 0.727)
Os (0.662, 0.250, 0.273)
Os (0.839, 0.750, 0.213)

=====

# 7
VASP calculation (PBE) on PuTh5Os4 after structural relaxation.

**Total DFT energy (no corrections)**: -9.794 eV per atom
**Spin magnetization**: 0.392 μB per atom
**V**: 262 Å³ per cell
**DFT formation energy**: -0.159 eV per atom

Unit cell a=8.820 b=8.820 c=7.286 alpha=104.54 beta=104.54 gamma=28.58
Atoms (fractional coordinates):
Pu (0.000, 0.000, 0.000)
Th (0.000, 0.000, 0.500)
Th (0.325, 0.325, 0.426)
Th (0.341, 0.341, 0.944)
Th (0.659, 0.659, 0.056)
Th (0.675, 0.675, 0.574)
Os (0.148, 0.148, 0.308)
Os (0.492, 0.492, 0.770)
Os (0.508, 0.508, 0.230)
Os (0.852, 0.852, 0.692)

=====

# 8
VASP calculation (PBE) on Pu2Th2Os3 after structural relaxation.

**Total DFT energy (no corrections)**: -11.064 eV per atom
**Spin magnetization**: 1.343 μB per atom
**V**: 176 Å³ per cell
**DFT formation energy**: -0.036 eV per atom

Unit cell a=5.804 b=5.804 c=7.468 alpha=98.76 beta=98.76 gamma=45.06
Atoms (fractional coordinates):
Pu (0.139, 0.139, 0.424)
Pu (0.861, 0.861, 0.576)
Th (0.370, 0.370, 0.139)
Th (0.630, 0.630, 0.861)
Os (0.314, 0.314, 0.771)
Os (0.500, 0.500, 0.500)
Os (0.686, 0.686, 0.229)

=====

# 9
VASP calculation (PBE) on PuThTlOs after structural relaxation.

**Total DFT energy (no corrections)**: -8.950 eV per atom
**Spin magnetization**: 1.278 μB per atom
**V**: 99 Å³ per cell
**DFT formation energy**: -0.113 eV per atom

Unit cell a=3.357 b=3.357 c=8.826 alpha=90.00 beta=90.00 gamma=90.00
Atoms (fractional coordinates):
Pu (0.000, 0.000, 0.000)
Th (0.000, 0.000, 0.409)
Tl (0.500, 0.500, 0.713)
Os (0.500, 0.500, 0.202)

=====

# 10
VASP calculation (PBE) on PuThZnOs after structural relaxation.

**Total DFT energy (no corrections)**: -8.674 eV per atom
**Spin magnetization**: 1.291 μB per atom
**V**: 88 Å³ per cell
**DFT formation energy**: -0.110 eV per atom

Unit cell a=4.999 b=4.999 c=4.999 alpha=60.00 beta=60.00 gamma=60.00
Atoms (fractional coordinates):
Pu (0.000, 0.000, 0.000)
Th (0.500, 0.500, 0.500)
Zn (0.250, 0.250, 0.250)
Os (0.750, 0.750, 0.750)

=====

Question: Number 5 is which compound?
Answer: PuTh3Os8

=====

Question: Which value of total DFT energy (no corrections) does entry 4 give?
Answer: -9.537 eV per atom

=====

Question: What is the V in the fifth record?
Answer: 227 Å³ per cell

=====

Question: V of number 4 (PuThTeOs)?
Answer: 111 Å³ per cell